A relaxed ScPbO2 crystal. Source: the Alexandria database, functional PBE.

Results
Fermi-level density of states: 1.16 states/eV per cell
Formation energy without anion corrections: -2393 meV per atom
Size of the total moment: 0.00 μB per cell
Raw total energy: -88.58 eV per cell
Space group: No. 166

Lattice parameters (Å, degrees): 3.240 3.240 20.753 90.00 90.00 120.00
Fractional positions:
Sc (0.000, 0.000, 0.000)
Sc (0.333, 0.667, 0.667)
Sc (0.667, 0.333, 0.333)
Pb (0.000, 0.000, 0.500)
Pb (0.333, 0.667, 0.167)
Pb (0.667, 0.333, 0.833)
O (0.000, 0.000, 0.383)
O (0.000, 0.000, 0.617)
O (0.333, 0.667, 0.050)
O (0.333, 0.667, 0.283)
O (0.667, 0.333, 0.717)
O (0.667, 0.333, 0.950)